A plane-wave DFT calculation with PBE-GGA was carried out for a geometry-optimized SmThHg structure.

Unit cell a=3.6390 b=5.3722 c=5.3722 alpha=120.00 beta=90.00 gamma=90.00
Sites, in units of the cell vectors:
Sm 0.6454 0.6667 0.3333
Hg 0.2436 0.3333 0.6667
Th 0.1110 0.0000 0.0000

Results
Polymorph energy (0 for the lowest one)   20.9 kJ/mol of atoms
Formation energy from the elements   -0.01 eV/atom
DFT total energy   -4.155 eV per atom

***

A plane-wave DFT calculation with PBE-GGA was carried out for a geometry-optimized PmTlH6Rh2 structure.

Unit cell a=7.0536 b=7.0536 c=4.7741 alpha=86.43 beta=86.43 gamma=114.88
Sites, in units of the cell vectors:
Pm 0.6562 0.3438 0.2500
Pm 0.3438 0.6562 0.7500
Tl 0.1180 0.8820 0.2500
Tl 0.8820 0.1180 0.7500
H 0.0043 0.3834 0.0675
H 0.6166 0.9957 0.4325
H 0.9957 0.6166 0.9325
H 0.3834 0.0043 0.5675
H 0.3363 0.3420 0.9975
H 0.6580 0.6637 0.5025
H 0.6637 0.6580 0.0025
H 0.3420 0.3363 0.4975
H 0.2025 0.5478 0.3101
H 0.4522 0.7975 0.1899
H 0.7975 0.4522 0.6899
H 0.5478 0.2025 0.8101
Rh 0.3034 0.1380 0.7688
Rh 0.8620 0.6966 0.7312
Rh 0.6966 0.8620 0.2312
Rh 0.1380 0.3034 0.2688

Results
DFT total energy   -4.439 eV per atom

***

A plane-wave DFT calculation with PBE-GGA was carried out for a geometry-optimized FePt2Cl structure.

Unit cell a=6.8472 b=6.8472 c=6.8472 alpha=156.49 beta=144.23 gamma=43.25
Last column: magnetic moment on the atom in μB.
Sites, in units of the cell vectors:
Fe 0.2766 0.7766 0.5000  3.08
Pt 0.0900 0.0900 0.0000  0.07
Pt 0.7089 0.2089 0.5000  0.23
Cl 0.4245 0.4245 0.0000  0.09

Results
Polymorph energy (0 for the lowest one)   14.3 kJ/mol of atoms
Formation energy without anion corrections   0.1879 eV/atom
DFT total energy   -5.410 eV per atom

***

What magnetic moment values result from the calculations? In sequence: 0.000, 0.000, 0.881 μB per atom.